# 1
# ZrAu2, relaxed, DFT PBE
# * symmetry: P6_3/mmc, No. 194
# * VASP energy: -63.10 eV for the cell shown
# * DOS(E_F): 13.71 states/eV/cell
data_ZrAu2
_cell_length_a 5.505
_cell_length_b 5.505
_cell_length_c 9.043
_cell_angle_alpha 90.00
_cell_angle_beta 90.00
_cell_angle_gamma 120.00
_symmetry_space_group_name_H-M 'P 1'
_symmetry_Int_Tables_number 1
loop_
_symmetry_equiv_pos_as_xyz
'x,y,z'
loop_
_atom_site_label
_atom_site_type_symbol
_atom_site_fract_x
_atom_site_fract_y
_atom_site_fract_z
Zr1 Zr 0.333 0.667 0.037
Zr2 Zr 0.333 0.667 0.463
Zr3 Zr 0.667 0.333 0.537
Zr4 Zr 0.667 0.333 0.963
Au1 Au 0.000 0.000 0.000
Au2 Au 0.000 0.000 0.500
Au3 Au 0.170 0.341 0.750
Au4 Au 0.170 0.830 0.750
Au5 Au 0.341 0.170 0.250
Au6 Au 0.659 0.830 0.750
Au7 Au 0.830 0.170 0.250
Au8 Au 0.830 0.659 0.250

=====

# 2
# Zr2Au, relaxed, DFT PBE
# * symmetry: Fm-3m, No. 225
# * VASP energy: -20.41 eV for the cell shown
# * DOS(E_F): 5.62 states/eV/cell
data_Zr2Au
_cell_length_a 4.680
_cell_length_b 4.680
_cell_length_c 4.680
_cell_angle_alpha 60.00
_cell_angle_beta 60.00
_cell_angle_gamma 60.00
_symmetry_space_group_name_H-M 'P 1'
_symmetry_Int_Tables_number 1
loop_
_symmetry_equiv_pos_as_xyz
'x,y,z'
loop_
_atom_site_label
_atom_site_type_symbol
_atom_site_fract_x
_atom_site_fract_y
_atom_site_fract_z
Zr1 Zr 0.250 0.250 0.250
Zr2 Zr 0.750 0.750 0.750
Au1 Au 0.000 0.000 0.000

=====

# 3
# Zr2Au, relaxed, DFT PBE
# * symmetry: P-3m1, No. 164
# * VASP energy: -20.58 eV for the cell shown
# * DOS(E_F): 5.11 states/eV/cell
data_Zr2Au
_cell_length_a 4.852
_cell_length_b 4.852
_cell_length_c 3.131
_cell_angle_alpha 90.00
_cell_angle_beta 90.00
_cell_angle_gamma 120.00
_symmetry_space_group_name_H-M 'P 1'
_symmetry_Int_Tables_number 1
loop_
_symmetry_equiv_pos_as_xyz
'x,y,z'
loop_
_atom_site_label
_atom_site_type_symbol
_atom_site_fract_x
_atom_site_fract_y
_atom_site_fract_z
Zr1 Zr 0.333 0.667 0.283
Zr2 Zr 0.667 0.333 0.717
Au1 Au 0.000 0.000 0.000